## YInHg6 (PBE)

Data for an optimized crystal structure of YInHg6.

Cell lengths 8.2708, 7.6926, 5.9398 Å; angles 49.60, 46.68, 60.30 degrees
Fractional coordinates of all 8 atoms:
In (0.0000, 0.0000, 0.0000)
Hg (0.7488, 0.9953, 0.7531)
Hg (0.9942, 0.4748, 0.2755)
Hg (0.2512, 0.0047, 0.2469)
Hg (0.0058, 0.5252, 0.7245)
Hg (0.5198, 0.7500, 0.7440)
Hg (0.4802, 0.2500, 0.2560)
Y (0.5000, 0.5000, 0.5000)

## Properties
V = 26.1 Å³ per atom
E = -1.465 eV per atom



## YIn2Hg2 (PBE)

Data for an optimized crystal structure of YIn2Hg2.

Cell lengths 4.4720, 4.4720, 7.1645 Å; angles 71.81, 71.81, 90.00 degrees
Fractional coordinates of all 5 atoms:
Hg (0.3947, 0.3947, 0.2106)
Hg (0.6053, 0.6053, 0.7894)
In (0.7500, 0.2500, 0.5000)
In (0.2500, 0.7500, 0.5000)
Y (0.0000, 0.0000, 0.0000)

## Properties
V = 25.7 Å³ per atom
E = -2.651 eV per atom



## Y6InHg5 (PBE)

Data for an optimized crystal structure of Y6InHg5.

Cell lengths 5.2706, 7.4957, 9.1523 Å; angles 114.17, 106.73, 90.00 degrees
Fractional coordinates of all 12 atoms:
Hg (0.6665, 0.6665, 0.3329)
Hg (0.0000, 0.5000, 0.0000)
Hg (0.3335, 0.3335, 0.6671)
Hg (0.6642, 0.1642, 0.3283)
Hg (0.3358, 0.8358, 0.6717)
Y (0.8319, 0.5803, 0.6639)
Y (0.8320, 0.0836, 0.6639)
Y (0.5001, 0.2536, 0.0000)
Y (0.4999, 0.7464, 0.0000)
Y (0.1680, 0.9164, 0.3361)
Y (0.1681, 0.4197, 0.3361)
In (0.0000, 0.0000, 0.0000)

## Properties
V = 26.1 Å³ per atom
E = -4.094 eV per atom



## YInHg (PBE)

Data for an optimized crystal structure of YInHg.

Cell lengths 4.9206, 6.1125, 7.2279 Å; angles 53.78, 90.05, 113.83 degrees
Fractional coordinates of all 6 atoms:
Y (0.3713, 0.0202, 0.3635)
Y (0.3715, 0.0204, 0.8634)
In (0.7083, 0.6941, 0.7928)
In (0.0344, 0.3464, 0.9342)
Hg (0.0432, 0.3638, 0.4825)
Hg (0.6998, 0.6767, 0.2443)

## Properties
V = 25.3 Å³ per atom
E = -3.583 eV per atom



Look up the V of the first one.
26.1 Å³ per atom



Look up the V of the second one.
25.7 Å³ per atom



The highest E belongs to which entry?
YInHg6